Model w:
Density functional theory data (GGA-PBE) for a relaxed BaSiGe3 crystal.

Cell: 8.919 5.651 13.141 Å, 90.00 130.70 90.00°
Space group P2_1/c (No. 14)
Asymmetric unit:
Ba 0.249 0.155 0.316 (multiplicity 4)
Si 0.321 0.013 0.630 (multiplicity 4)
Ge 0.003 0.741 0.047 (multiplicity 4)
Ge 0.223 0.678 0.475 (multiplicity 4)
Ge 0.492 0.133 0.138 (multiplicity 4)


Model x:
Density functional theory data (GGA-PBE) for a relaxed BaSiGe3 crystal.

Cell: 5.724 5.724 5.724 Å, 90.00 90.00 90.00°
Space group Pm-3m (No. 221)
Asymmetric unit:
Ba 0.000 0.000 0.000 (multiplicity 1)
Si 0.500 0.500 0.500 (multiplicity 1)
Ge 0.000 0.000 0.500 (multiplicity 3)


Relative energies with respect to the most stable structure, expressed in meV/atom: model w 0; model x 1850.


Model w:
Density functional theory data (GGA-PBE) for a relaxed BaSiGe crystal.

Cell: 6.891 6.891 6.891 Å, 90.00 90.00 90.00°
Space group P2_13 (No. 198)
Asymmetric unit:
Ba 0.130 0.130 0.130 (multiplicity 4)
Si 0.077 0.577 0.923 (multiplicity 4)
Ge 0.171 0.329 0.671 (multiplicity 4)


Model x:
Density functional theory data (GGA-PBE) for a relaxed BaSiGe crystal.

Cell: 4.3653 4.3653 4.9718 Å, 90.00 90.00 120.00°
Space group P3m1 (No. 156)
Asymmetric unit:
Ba 0.0000 0.0000 0.0000 (multiplicity 1)
Si 0.3333 0.6667 0.4994 (multiplicity 1)
Ge 0.6667 0.3333 0.5006 (multiplicity 1)


Relative energies with respect to the most stable structure, expressed in meV/atom: model w 0; model x 30.


Model w:
Density functional theory data (GGA-PBE) for a relaxed BaSiGe crystal.

Cell: 4.124 4.950 8.298 Å, 90.00 90.00 90.00°
Space group Pmmm (No. 47)
Asymmetric unit:
Ba 0.000 0.000 0.000 (multiplicity 1)
Ba 0.500 0.000 0.500 (multiplicity 1)
Si 0.000 0.500 0.357 (multiplicity 2)
Ge 0.500 0.500 0.191 (multiplicity 2)


Model x:
Density functional theory data (GGA-PBE) for a relaxed BaSiGe crystal.

Cell: 4.193 7.889 9.968 Å, 90.00 90.00 90.00°
Space group Cmcm (No. 63)
Asymmetric unit:
Ba 0.000 0.000 0.000 (multiplicity 4)
Si 0.000 0.337 0.250 (multiplicity 4)
Ge 0.000 0.335 0.750 (multiplicity 4)


Model y:
Density functional theory data (GGA-PBE) for a relaxed BaSiGe crystal.

Cell: 6.3537 6.3537 8.4755 Å, 90.00 90.00 120.00°
Space group P3_2 (No. 145)
Asymmetric unit:
Ba 0.1690 0.3396 0.0000 (multiplicity 3)
Si 0.3448 0.1724 0.6668 (multiplicity 3)
Ge 0.1757 0.3542 0.5012 (multiplicity 3)


Relative energies with respect to the most stable structure, expressed in meV/atom: model w 0; model x 26; model y 268.


Model w:
Density functional theory data (GGA-PBE) for a relaxed BaSi2Ge2 crystal.

Cell: 4.588 4.588 11.236 Å, 90.00 90.00 90.00°
Space group I4/mmm (No. 139)
Asymmetric unit:
Ba 0.000 0.000 0.000 (multiplicity 2)
Si 0.000 0.500 0.250 (multiplicity 4)
Ge 0.000 0.000 0.353 (multiplicity 4)


Model x:
Density functional theory data (GGA-PBE) for a relaxed BaSi2Ge2 crystal.

Cell: 8.069 8.069 3.765 Å, 90.00 90.00 90.00°
Space group P4/mbm (No. 127)
Asymmetric unit:
Ba 0.000 0.000 0.000 (multiplicity 2)
Si 0.108 0.392 0.000 (multiplicity 4)
Ge 0.130 0.630 0.500 (multiplicity 4)


Relative energies with respect to the most stable structure, expressed in meV/atom: model w 0; model x 166.


Model w:
Density functional theory data (GGA-PBE) for a relaxed Ba2SiGe2 crystal.

Cell: 12.260 4.609 11.403 Å, 90.00 108.83 90.00°
Space group C2/m (No. 12)
Asymmetric unit:
Ba 0.092 0.000 0.405 (multiplicity 4)
Ba 0.204 0.500 0.141 (multiplicity 4)
Si 0.073 0.500 0.824 (multiplicity 4)
Ge 0.031 0.000 0.903 (multiplicity 4)
Ge 0.131 0.500 0.643 (multiplicity 4)


Model x:
Density functional theory data (GGA-PBE) for a relaxed Ba2SiGe2 crystal.

Cell: 7.443 7.443 5.197 Å, 90.00 90.00 90.00°
Space group P4/mbm (No. 127)
Asymmetric unit:
Ba 0.178 0.322 0.000 (multiplicity 4)
Si 0.000 0.000 0.500 (multiplicity 2)
Ge 0.125 0.625 0.500 (multiplicity 4)


Relative energies with respect to the most stable structure, expressed in meV/atom: model w 0; model x 188.


Model w:
Density functional theory data (GGA-PBE) for a relaxed BaSn3Ge crystal.

Cell: 5.505 5.505 5.505 Å, 90.00 90.00 90.00°
Space group Pm-3m (No. 221)
Asymmetric unit:
Ba 0.000 0.000 0.000 (multiplicity 1)
Sn 0.000 0.500 0.500 (multiplicity 3)
Ge 0.500 0.500 0.500 (multiplicity 1)


Model x:
Density functional theory data (GGA-PBE) for a relaxed BaSn3Ge crystal.

Cell: 5.229 5.237 6.551 Å, 70.95 69.07 89.59°
Space group P1 (No. 1)
Asymmetric unit:
Ba 0.000 0.000 0.000 (multiplicity 1)
Sn 0.252 0.726 0.498 (multiplicity 1)
Sn 0.616 0.621 0.784 (multiplicity 1)
Sn 0.737 0.252 0.498 (multiplicity 1)
Ge 0.338 0.321 0.282 (multiplicity 1)


Relative energies with respect to the most stable structure, expressed in meV/atom: model w 302; model x 0.